Density functional theory data (PBE-GGA) for a geometry-optimized Ce2InCuAu6 structure.

Lattice parameters (Å, degrees): 5.494 6.415 7.631 81.28 69.18 64.67
Fractional coordinates of all 10 atoms:
Ce (0.018, 0.193, 0.270)
Ce (0.982, 0.807, 0.730)
In (0.500, 0.500, 0.000)
Cu (0.500, 0.000, 0.500)
Au (0.005, 0.324, 0.663)
Au (0.326, 0.967, 0.884)
Au (0.490, 0.676, 0.339)
Au (0.510, 0.324, 0.661)
Au (0.674, 0.033, 0.116)
Au (0.995, 0.676, 0.337)

Calculated formation energy = -0.33 eV per atom
Size of the total moment = 2.2 μB per formula unit
Electronic total energy = -0.1530 hartree per atom
Space group = P-1, No. 2

***

Density functional theory data (PBE-GGA) for a geometry-optimized LaCeCuAu structure.

Lattice parameters (Å, degrees): 7.366 7.366 7.366 90.00 90.00 90.00
Fractional coordinates of all 16 atoms:
La (0.000, 0.000, 0.000)
La (0.000, 0.500, 0.500)
La (0.500, 0.000, 0.500)
La (0.500, 0.500, 0.000)
Ce (0.000, 0.000, 0.500)
Ce (0.000, 0.500, 0.000)
Ce (0.500, 0.000, 0.000)
Ce (0.500, 0.500, 0.500)
Cu (0.250, 0.250, 0.250)
Cu (0.250, 0.750, 0.750)
Cu (0.750, 0.250, 0.750)
Cu (0.750, 0.750, 0.250)
Au (0.250, 0.250, 0.750)
Au (0.250, 0.750, 0.250)
Au (0.750, 0.250, 0.250)
Au (0.750, 0.750, 0.750)

Calculated formation energy = -0.36 eV per atom
Size of the total moment = 1.0 μB per formula unit
Electronic total energy = -0.1806 hartree per atom
Space group = F-43m, No. 216

***

Density functional theory data (PBE-GGA) for a geometry-optimized LiCeCuAu structure.

Lattice parameters (Å, degrees): 6.891 6.891 6.891 90.00 90.00 90.00
Fractional coordinates of all 16 atoms:
Li (0.000, 0.000, 0.000)
Li (0.000, 0.500, 0.500)
Li (0.500, 0.000, 0.500)
Li (0.500, 0.500, 0.000)
Ce (0.000, 0.000, 0.500)
Ce (0.000, 0.500, 0.000)
Ce (0.500, 0.000, 0.000)
Ce (0.500, 0.500, 0.500)
Cu (0.250, 0.250, 0.250)
Cu (0.250, 0.750, 0.750)
Cu (0.750, 0.250, 0.750)
Cu (0.750, 0.750, 0.250)
Au (0.250, 0.250, 0.750)
Au (0.250, 0.750, 0.250)
Au (0.750, 0.250, 0.250)
Au (0.750, 0.750, 0.750)

Calculated formation energy = -0.26 eV per atom
Size of the total moment = 0.8 μB per formula unit
Electronic total energy = -0.1495 hartree per atom
Space group = F-43m, No. 216

***

Density functional theory data (PBE-GGA) for a geometry-optimized CeMg2CuAu4 structure.

Lattice parameters (Å, degrees): 9.144 9.144 9.144 28.98 28.98 28.98
Fractional coordinates of all 8 atoms:
Ce (0.000, 0.000, 0.000)
Mg (0.235, 0.235, 0.235)
Mg (0.765, 0.765, 0.765)
Cu (0.500, 0.500, 0.500)
Au (0.128, 0.128, 0.128)
Au (0.397, 0.397, 0.397)
Au (0.603, 0.603, 0.603)
Au (0.872, 0.872, 0.872)

Calculated formation energy = -0.48 eV per atom
Size of the total moment = 0.9 μB per formula unit
Electronic total energy = -0.1387 hartree per atom
Space group = R-3m, No. 166

***

Density functional theory data (PBE-GGA) for a geometry-optimized CeMgCuAu structure.

Lattice parameters (Å, degrees): 6.939 6.939 6.939 90.00 90.00 90.00
Fractional coordinates of all 16 atoms:
Ce (0.000, 0.000, 0.000)
Ce (0.000, 0.500, 0.500)
Ce (0.500, 0.000, 0.500)
Ce (0.500, 0.500, 0.000)
Mg (0.000, 0.000, 0.500)
Mg (0.000, 0.500, 0.000)
Mg (0.500, 0.000, 0.000)
Mg (0.500, 0.500, 0.500)
Cu (0.250, 0.250, 0.750)
Cu (0.250, 0.750, 0.250)
Cu (0.750, 0.250, 0.250)
Cu (0.750, 0.750, 0.750)
Au (0.250, 0.250, 0.250)
Au (0.250, 0.750, 0.750)
Au (0.750, 0.250, 0.750)
Au (0.750, 0.750, 0.250)

Calculated formation energy = -0.38 eV per atom
Size of the total moment = 0.7 μB per formula unit
Electronic total energy = -0.1508 hartree per atom
Space group = F-43m, No. 216

***

Density functional theory data (PBE-GGA) for a geometry-optimized Ce2NdCu2Au2 structure.

Lattice parameters (Å, degrees): 8.911 8.911 8.911 29.63 29.63 29.63
Fractional coordinates of all 7 atoms:
Ce (0.138, 0.138, 0.138)
Ce (0.862, 0.862, 0.862)
Nd (0.000, 0.000, 0.000)
Cu (0.413, 0.413, 0.413)
Cu (0.587, 0.587, 0.587)
Au (0.262, 0.262, 0.262)
Au (0.738, 0.738, 0.738)

Calculated formation energy = -0.36 eV per atom
Size of the total moment = 1.4 μB per formula unit
Electronic total energy = -0.1781 hartree per atom
Space group = R-3m, No. 166

***

Density functional theory data (PBE-GGA) for a geometry-optimized CeNdCuAu structure.

Lattice parameters (Å, degrees): 7.301 7.301 7.301 90.00 90.00 90.00
Fractional coordinates of all 16 atoms:
Ce (0.000, 0.000, 0.000)
Ce (0.000, 0.500, 0.500)
Ce (0.500, 0.000, 0.500)
Ce (0.500, 0.500, 0.000)
Nd (0.000, 0.000, 0.500)
Nd (0.000, 0.500, 0.000)
Nd (0.500, 0.000, 0.000)
Nd (0.500, 0.500, 0.500)
Cu (0.250, 0.250, 0.750)
Cu (0.250, 0.750, 0.250)
Cu (0.750, 0.250, 0.250)
Cu (0.750, 0.750, 0.750)
Au (0.250, 0.250, 0.250)
Au (0.250, 0.750, 0.750)
Au (0.750, 0.250, 0.750)
Au (0.750, 0.750, 0.250)

Calculated formation energy = -0.36 eV per atom
Size of the total moment = 1.0 μB per formula unit
Electronic total energy = -0.1791 hartree per atom
Space group = F-43m, No. 216

***

Density functional theory data (PBE-GGA) for a geometry-optimized CeCuPbAu structure.

Lattice parameters (Å, degrees): 7.095 7.095 7.095 90.00 90.00 90.00
Fractional coordinates of all 16 atoms:
Ce (0.000, 0.000, 0.000)
Ce (0.000, 0.500, 0.500)
Ce (0.500, 0.000, 0.500)
Ce (0.500, 0.500, 0.000)
Cu (0.250, 0.250, 0.750)
Cu (0.250, 0.750, 0.250)
Cu (0.750, 0.250, 0.250)
Cu (0.750, 0.750, 0.750)
Pb (0.000, 0.000, 0.500)
Pb (0.000, 0.500, 0.000)
Pb (0.500, 0.000, 0.000)
Pb (0.500, 0.500, 0.500)
Au (0.250, 0.250, 0.250)
Au (0.250, 0.750, 0.750)
Au (0.750, 0.250, 0.750)
Au (0.750, 0.750, 0.250)

Calculated formation energy = -0.34 eV per atom
Size of the total moment = 0.6 μB per formula unit
Electronic total energy = -0.1687 hartree per atom
Space group = F-43m, No. 216

***

Q: Look up the calculated formation energy of the sixth one.
A: -0.36 eV per atom

***

Copy entry 6 word for word.
Density functional theory data (PBE-GGA) for a geometry-optimized Ce2NdCu2Au2 structure.

Lattice parameters (Å, degrees): 8.911 8.911 8.911 29.63 29.63 29.63
Fractional coordinates of all 7 atoms:
Ce (0.138, 0.138, 0.138)
Ce (0.862, 0.862, 0.862)
Nd (0.000, 0.000, 0.000)
Cu (0.413, 0.413, 0.413)
Cu (0.587, 0.587, 0.587)
Au (0.262, 0.262, 0.262)
Au (0.738, 0.738, 0.738)

Calculated formation energy = -0.36 eV per atom
Size of the total moment = 1.4 μB per formula unit
Electronic total energy = -0.1781 hartree per atom
Space group = R-3m, No. 166